Record 1
Entry from Alexandria via LeMat-Bulk: Y2SnSe after structural relaxation (PBE-GGA).

The structure belongs to space group R-3m (No. 166, hexagonal axes); the cell edges are 4.2209, 4.2209 and 21.2249 Å and the angles 90.00°, 90.00° and 120.00°. The asymmetric unit holds Y at (0.0000, 0.0000, 0.2474), Sn at (0.0000, 0.0000, 0.0000) and Se at (0.0000, 0.0000, 0.5000).

For the electronic total energy, the calculation gives -6.352 eV/atom. For the size of the total moment, the calculation gives 0.000 μB/f.u. The calculation puts the formation energy (no corrections) at -1.25 eV/atom.



Record 2
Entry from Alexandria via LeMat-Bulk: YSn2Se after structural relaxation (PBE-GGA).

The structure belongs to space group I-42d (No. 122); the cell edges are 8.550, 8.550 and 5.989 Å and the angles 90.00°, 90.00° and 90.00°. The asymmetric unit holds Y at (0.000, 0.000, 0.000), Sn at (0.230, 0.250, 0.625) and Se at (0.000, 0.000, 0.500).

For the electronic total energy, the calculation gives -4.797 eV/atom. For the size of the total moment, the calculation gives 0.000 μB/f.u. The calculation puts the formation energy (no corrections) at -0.31 eV/atom.



Record 3
Entry from Alexandria via LeMat-Bulk: Y2SnSe2 after structural relaxation (PBE-GGA).

The structure belongs to space group P4/mbm (No. 127); the cell edges are 8.237, 8.237 and 3.624 Å and the angles 90.00°, 90.00° and 90.00°. The asymmetric unit holds Y at (0.163, 0.337, 0.000), Sn at (0.000, 0.000, 0.500) and Se at (0.135, 0.635, 0.500).

For the electronic total energy, the calculation gives -5.906 eV/atom. For the size of the total moment, the calculation gives 0.000 μB/f.u. The calculation puts the formation energy (no corrections) at -1.13 eV/atom.



Record 4
Entry from Alexandria via LeMat-Bulk: YSnSe after structural relaxation (PBE-GGA).

The structure belongs to space group R-3m (No. 166, hexagonal axes); the cell edges are 4.3380, 4.3380 and 35.1720 Å and the angles 90.00°, 90.00° and 120.00°. The asymmetric unit holds Y at (0.0000, 0.0000, 0.0820), Sn at (0.0000, 0.0000, 0.3534) and Se at (0.0000, 0.0000, 0.2167).

For the electronic total energy, the calculation gives -5.685 eV/atom. For the size of the total moment, the calculation gives 0.000 μB/f.u. The calculation puts the formation energy (no corrections) at -1.03 eV/atom.



Record 5
Entry from Alexandria via LeMat-Bulk: Y8SnSe6 after structural relaxation (PBE-GGA).

The structure belongs to space group P-3 (No. 147); the cell edges are 10.5683, 10.5683 and 4.0542 Å and the angles 90.00°, 90.00° and 120.00°. The asymmetric unit holds Y at (0.0351, 0.3202, 0.2527), Y at (0.3333, 0.6667, 0.7481), Sn at (0.0000, 0.0000, 0.5000) and Se at (0.1313, 0.6492, 0.2502).

For the electronic total energy, the calculation gives -6.475 eV/atom. For the size of the total moment, the calculation gives 0.000 μB/f.u. The calculation puts the formation energy (no corrections) at -1.37 eV/atom.



Record 6
Entry from Alexandria via LeMat-Bulk: Y2SnSe after structural relaxation (PBE-GGA).

The structure belongs to space group Fm-3m (No. 225); the cell edges are 7.443, 7.443 and 7.443 Å and the angles 90.00°, 90.00° and 90.00°. The asymmetric unit holds Y at (0.250, 0.250, 0.250), Sn at (0.000, 0.000, 0.000) and Se at (0.000, 0.000, 0.500).

For the electronic total energy, the calculation gives -6.014 eV/atom. For the size of the total moment, the calculation gives 0.000 μB/f.u. The calculation puts the formation energy (no corrections) at -0.91 eV/atom.



Record 7
Entry from Alexandria via LeMat-Bulk: Y3Sn5Se12 after structural relaxation (PBE-GGA).

The structure belongs to space group Ia-3d (No. 230); the cell edges are 16.728, 16.728 and 16.728 Å and the angles 90.00°, 90.00° and 90.00°. The asymmetric unit holds Y at (0.000, 0.250, 0.125), Sn at (0.000, 0.000, 0.000), Sn at (0.000, 0.250, 0.375) and Se at (0.017, 0.069, 0.656).

For the electronic total energy, the calculation gives -4.891 eV/atom. For the size of the total moment, the calculation gives 0.000 μB/f.u. The calculation puts the formation energy (no corrections) at -0.83 eV/atom.



Record 8
Entry from Alexandria via LeMat-Bulk: YZnSn2Se after structural relaxation (PBE-GGA).

The structure belongs to space group P4/mmm (No. 123); the cell edges are 5.530, 5.530 and 5.311 Å and the angles 90.00°, 90.00° and 90.00°. The asymmetric unit holds Y at (0.000, 0.000, 0.000), Zn at (0.500, 0.500, 0.000), Sn at (0.000, 0.500, 0.500) and Se at (0.000, 0.000, 0.500).

For the electronic total energy, the calculation gives -3.710 eV/atom. For the size of the total moment, the calculation gives 0.000 μB/f.u. The calculation puts the formation energy (no corrections) at 0.14 eV/atom.



Record 9
Entry from Alexandria via LeMat-Bulk: Zn2SnSe after structural relaxation (PBE-GGA).

The structure belongs to space group Fm-3m (No. 225); the cell edges are 6.934, 6.934 and 6.934 Å and the angles 90.00°, 90.00° and 90.00°. The asymmetric unit holds Zn at (0.250, 0.250, 0.250), Sn at (0.000, 0.000, 0.000) and Se at (0.000, 0.000, 0.500).

For the electronic total energy, the calculation gives -2.292 eV/atom. For the size of the total moment, the calculation gives 0.000 μB/f.u. The calculation puts the formation energy (no corrections) at 0.22 eV/atom.



Record 10
Entry from Alexandria via LeMat-Bulk: ZnSn2Se3 after structural relaxation (PBE-GGA).

The structure belongs to space group C2/c (No. 15); the cell edges are 6.329, 13.307 and 16.704 Å and the angles 90.00°, 96.86° and 90.00°. The asymmetric unit holds Zn at (0.224, 0.006, 0.335), Sn at (0.105, 0.290, 0.365), Sn at (0.225, 0.403, 0.958), Se at (0.000, 0.127, 0.250), Se at (0.000, 0.448, 0.250), Se at (0.176, 0.173, 0.888) and Se at (0.226, 0.402, 0.532).

For the electronic total energy, the calculation gives -3.700 eV/atom. For the size of the total moment, the calculation gives 0.000 μB/f.u. The calculation puts the formation energy (no corrections) at -0.41 eV/atom.



Record 11
Entry from Alexandria via LeMat-Bulk: ZnSnSe after structural relaxation (PBE-GGA).

The structure belongs to space group P-1 (No. 2); the cell edges are 3.983, 5.926 and 6.516 Å and the angles 89.85°, 72.75° and 88.94°. The asymmetric unit holds Zn at (0.040, 0.288, 0.423), Sn at (0.413, 0.264, 0.767) and Se at (0.353, 0.750, 0.842).

For the electronic total energy, the calculation gives -3.110 eV/atom. For the size of the total moment, the calculation gives 0.000 μB/f.u. The calculation puts the formation energy (no corrections) at -0.19 eV/atom.



Record 12
Entry from Alexandria via LeMat-Bulk: ZnSn2Se4 after structural relaxation (PBE-GGA).

The structure belongs to space group P-42m (No. 111); the cell edges are 6.548, 6.548 and 4.901 Å and the angles 90.00°, 90.00° and 90.00°. The asymmetric unit holds Zn at (0.000, 0.000, 0.000), Sn at (0.000, 0.500, 0.500) and Se at (0.248, 0.248, 0.207).

For the electronic total energy, the calculation gives -3.671 eV/atom. For the size of the total moment, the calculation gives 0.000 μB/f.u. The calculation puts the formation energy (no corrections) at -0.35 eV/atom.



- What is the formula in the third record?
  Y2SnSe2



Copy entry 9 word for word.
Entry from Alexandria via LeMat-Bulk: Zn2SnSe after structural relaxation (PBE-GGA).

The structure belongs to space group Fm-3m (No. 225); the cell edges are 6.934, 6.934 and 6.934 Å and the angles 90.00°, 90.00° and 90.00°. The asymmetric unit holds Zn at (0.250, 0.250, 0.250), Sn at (0.000, 0.000, 0.000) and Se at (0.000, 0.000, 0.500).

For the electronic total energy, the calculation gives -2.292 eV/atom. For the size of the total moment, the calculation gives 0.000 μB/f.u. The calculation puts the formation energy (no corrections) at 0.22 eV/atom.